Entry 1:
SrAlSe3 after structural relaxation. Source: Alexandria, functional PBE.

Lattice parameters (Å, degrees): 5.0121 5.0121 5.0121 90.00 90.00 90.00
Closest atoms and distances in Å follow each position.
Atoms (fractional coordinates):
Sr  0.5000  0.5000  0.5000  12 Se 3.54
Se  0.0000  0.5000  0.0000  2 Al 2.51
Al  0.0000  0.0000  0.0000  6 Se 2.51
Se  0.0000  0.0000  0.5000  2 Al 2.51
Se  0.5000  0.0000  0.0000  2 Al 2.51

Summary:
E above lowest polymorph = 0.244 eV/atom
Mass density = 4.6 g/cm3
Density of states at the Fermi level = 2.431 states/eV/cell
ΔE_f (raw) = -0.962 eV/atom
Crystal system = cubic
Final energy = -20.7 eV/cell
Space-group type = Pm-3m

Entry 2:
NaPu2Tl9 after structural relaxation. Source: Alexandria, functional PBE.

Lattice parameters (Å, degrees): 4.8242 4.8242 14.3884 90.00 90.00 90.00
Closest atoms and distances in Å follow each position.
Atoms (fractional coordinates):
Tl  0.5000  0.5000  0.0000  8 Tl 3.41, 4 Na 3.41
Tl  0.5000  0.0000  0.8326  2 Pu 3.39, 2 Na 3.41, 8 Tl 3.41-3.42
Tl  0.5000  0.5000  0.3357  8 Tl 3.38-3.42, 4 Pu 3.41
Tl  0.5000  0.0000  0.5000  8 Tl 3.38-3.41, 4 Pu 3.40
Tl  0.0000  0.5000  0.8326  2 Pu 3.39, 2 Na 3.41, 8 Tl 3.41-3.42
Pu  0.0000  0.0000  0.3331  12 Tl 3.39-3.41
Tl  0.5000  0.5000  0.6643  8 Tl 3.38-3.42, 4 Pu 3.41
Tl  0.5000  0.0000  0.1674  2 Pu 3.39, 8 Tl 3.41-3.42, 2 Na 3.41
Na  0.0000  0.0000  0.0000  12 Tl 3.41
Pu  0.0000  0.0000  0.6669  12 Tl 3.39-3.41
Tl  0.0000  0.5000  0.5000  8 Tl 3.38-3.41, 4 Pu 3.40
Tl  0.0000  0.5000  0.1674  2 Pu 3.39, 8 Tl 3.41-3.42, 2 Na 3.41

Summary:
Mass density = 11.7 g/cm3
Density of states at the Fermi level = 30.015 states/eV/cell
Crystal system = tetragonal
Final energy = -51.6 eV/cell
ΔE_f = -23 meV per atom
Space-group type = P4/mmm

Entry 3:
VAsOs3 after structural relaxation. Source: Alexandria, functional PBE.

Lattice parameters (Å, degrees): 4.4905 4.4905 4.4905 90.00 90.00 90.00
Closest atoms and distances in Å follow each position.
Atoms (fractional coordinates):
Os  0.0000  0.5000  0.0000  2 As 2.25
V  0.5000  0.5000  0.5000  12 Os 3.18
As  0.0000  0.0000  0.0000  6 Os 2.25
Os  0.0000  0.0000  0.5000  2 As 2.25
Os  0.5000  0.0000  0.0000  2 As 2.25

Summary:
E above lowest polymorph = 0.000 eV/atom
Mass density = 12.8 g/cm3
Density of states at the Fermi level = 8.072 states/eV/cell
Crystal system = cubic
Final energy = -39.7 eV/cell
ΔE_f = 1556 meV per atom
Space-group type = Pm-3m

Q: mass density of number 2 (NaPu2Tl9)?
A: 11.7 g/cm3